1.
AcPdAu | PBE | relaxed

abc: 5.050 5.050 5.050
angles: 60.00 60.00 60.00
Atoms (fractional coordinates):
Ac: 0.000 0.000 0.000
Au: 0.250 0.250 0.250
Pd: 0.750 0.750 0.750

## Properties
For the energy above the most stable polymorph in this dataset, the calculation gives 0.4294 eV per atom. The formation energy is -0.40 eV per atom. As for the space group: No. 216. The calculation puts the magnetization at 0.00 μB per atom. Its mass density is 9.67 Mg/m³.

=====

2.
AcPrAu | PBE | relaxed

abc: 5.291 5.291 5.291
angles: 60.00 60.00 60.00
Each line ends with the local moment (μB).
Atoms (fractional coordinates):
Ac: 0.500 0.500 0.500  0.08
Pr: 0.000 0.000 0.000  0.14
Au: 0.250 0.250 0.250  0.03

## Properties
The formation energy is -0.34 eV per atom. As for the space group: No. 216. The calculation puts the magnetization at 0.18 μB per atom. Its mass density is 8.96 Mg/m³.

=====

3.
AcPuAu | PBE | relaxed

abc: 5.046 5.046 5.046
angles: 60.00 60.00 60.00
Atoms (fractional coordinates):
Au: 0.250 0.250 0.250
Ac: 0.000 0.000 0.000
Pu: 0.750 0.750 0.750

## Properties
For the energy above the most stable polymorph in this dataset, the calculation gives 0.1648 eV per atom. The formation energy is 0.27 eV per atom. As for the space group: No. 216. The calculation puts the magnetization at 2.03 μB per atom. Its mass density is 12.21 Mg/m³.

=====

4.
AcAuS2 | PBE | relaxed

abc: 7.869 8.107 8.309
angles: 90.00 115.05 90.00
Atoms (fractional coordinates):
Ac: 0.240 0.882 0.764
Au: 0.211 0.399 0.643
S: 0.570 0.396 0.330
Ac: 0.240 0.618 0.264
Ac: 0.760 0.118 0.236
Au: 0.789 0.601 0.357
S: 0.991 0.817 0.373
S: 0.430 0.604 0.670
S: 0.009 0.183 0.627
S: 0.009 0.317 0.127
Au: 0.789 0.899 0.857
S: 0.991 0.683 0.873
S: 0.570 0.104 0.830
S: 0.430 0.896 0.170
Au: 0.211 0.101 0.143
Ac: 0.760 0.382 0.736

## Properties
Its total energy is -5.310 eV per atom. As for the space group: No. 14. The calculation puts the magnetization at 0.00 μB per atom. Its mass density is 6.75 Mg/m³.

=====

5.
Ac2Sb4Au | PBE | relaxed

abc: 4.622 4.622 10.304
angles: 90.00 90.00 90.00
Atoms (fractional coordinates):
Au: 0.000 0.000 0.000
Sb: 0.000 0.500 0.146
Sb: 0.500 0.000 0.854
Ac: 0.000 0.500 0.760
Sb: 0.000 0.000 0.500
Ac: 0.500 0.000 0.240
Sb: 0.500 0.500 0.500

## Properties
Its total energy is -4.769 eV per atom. As for the space group: No. 115. The calculation puts the magnetization at 0.00 μB per atom. Its mass density is 8.58 Mg/m³.

=====

6.
Ac3Si4Au4 | PBE | relaxed

abc: 4.444 4.526 13.129
angles: 80.08 80.27 89.99
Atoms (fractional coordinates):
Si: 0.805 0.304 0.390
Si: 0.452 0.453 0.096
Si: 0.195 0.696 0.610
Si: 0.548 0.547 0.904
Au: 0.250 0.250 0.501
Ac: 0.650 0.150 0.702
Au: 0.096 0.596 0.808
Ac: 0.350 0.850 0.298
Au: 0.750 0.750 0.499
Au: 0.904 0.404 0.192
Ac: 0.000 0.000 0.000

## Properties
Its total energy is -5.008 eV per atom. As for the space group: No. 71. The calculation puts the magnetization at 0.00 μB per atom. Its mass density is 10.25 Mg/m³.

=====

7.
AcSiAu | PBE | relaxed

abc: 5.123 5.123 5.123
angles: 60.00 60.00 60.00
Atoms (fractional coordinates):
Ac: 0.000 0.000 0.000
Si: 0.750 0.750 0.750
Au: 0.250 0.250 0.250

## Properties
For the energy above the most stable polymorph in this dataset, the calculation gives 0.8273 eV per atom. As for the space group: No. 216. The calculation puts the magnetization at 0.00 μB per atom. Its mass density is 7.89 Mg/m³.

=====

8.
AcSi2Au4 | PBE | relaxed

abc: 7.212 7.212 4.557
angles: 90.00 90.00 143.31
Atoms (fractional coordinates):
Ac: 0.000 0.000 0.000
Au: 0.677 0.323 0.000
Si: 0.409 0.591 0.500
Au: 0.824 0.176 0.500
Au: 0.176 0.824 0.500
Si: 0.591 0.409 0.500
Au: 0.323 0.677 0.000

## Properties
Its total energy is -4.486 eV per atom. As for the space group: No. 65. The calculation puts the magnetization at 0.00 μB per atom. Its mass density is 12.56 Mg/m³.

=====

What is the mass density in the first record? 9.67 Mg/m³

=====

The lowest mass density belongs to which entry? AcAuS2